A.
First-principles (GGA-PBE) data for a geometry-optimized CaLa4Co structure, as listed in Alexandria via LeMat-Bulk.

abc: 6.596 6.596 6.596
angles: 60.00 60.00 60.00
Last column: magnetic moment on the atom in μB.
Atoms (fractional coordinates):
La1 0.373 0.882 0.373  -0.06
La2 0.373 0.373 0.373  -0.06
La3 0.373 0.373 0.882  -0.06
La4 0.882 0.373 0.373  -0.06
Ca1 0.750 0.750 0.750  0.00
Co1 0.000 0.000 0.000  1.96

total magnetization	1.288	μB/cell
symmetry	F-43m (216)

---

B.
First-principles (GGA-PBE) data for a geometry-optimized CaLa4Co structure, as listed in Alexandria via LeMat-Bulk.

abc: 6.183 7.265 9.450
angles: 90.00 102.72 90.00
Atoms (fractional coordinates):
La1 0.706 0.750 0.304
La2 0.394 0.750 0.946
La3 0.606 0.250 0.054
La4 0.294 0.250 0.696
La5 0.134 0.491 0.193
La6 0.866 0.509 0.807
La7 0.866 0.991 0.807
La8 0.134 0.009 0.193
Ca1 0.713 0.250 0.443
Ca2 0.287 0.750 0.557
Co1 0.847 0.750 0.039
Co2 0.153 0.250 0.961

total magnetization	0.000	μB/cell
symmetry	P2_1/m (11)

---

Which structure is most stable? B, by 0.676 eV/atom over the runner-up.

---

A.
First-principles (GGA-PBE) data for a geometry-optimized LiCaLa2Co structure, as listed in Alexandria via LeMat-Bulk.

abc: 5.265 5.265 5.801
angles: 90.00 90.00 90.00
Atoms (fractional coordinates):
La1 0.000 0.500 0.000
La2 0.500 0.000 0.000
Co1 0.000 0.000 0.000
Ca1 0.000 0.000 0.500
Li1 0.500 0.500 0.500

total magnetization	0.000	μB/cell
symmetry	P4/mmm (123)

---

B.
First-principles (GGA-PBE) data for a geometry-optimized LiCaLa2Co structure, as listed in Alexandria via LeMat-Bulk.

abc: 5.231 5.231 5.600
angles: 90.00 90.00 90.00
Atoms (fractional coordinates):
La1 0.000 0.500 0.000
La2 0.500 0.000 0.000
Ca1 0.500 0.500 0.500
Li1 0.000 0.000 0.500
Co1 0.000 0.000 0.000

total magnetization	0.000	μB/cell
symmetry	P4/mmm (123)

---

Which structure is most stable? A, by 0.069 eV/atom over the runner-up.

---

A.
First-principles (GGA-PBE) data for a geometry-optimized CaLa2MgCo structure, as listed in Alexandria via LeMat-Bulk.

abc: 5.351 5.351 5.351
angles: 90.00 90.00 90.00
Atoms (fractional coordinates):
La1 0.500 0.000 0.000
La2 0.000 0.500 0.000
Mg1 0.000 0.000 0.500
Ca1 0.500 0.500 0.500
Co1 0.000 0.000 0.000

total magnetization	0.000	μB/cell
symmetry	P4/mmm (123)

---

B.
First-principles (GGA-PBE) data for a geometry-optimized CaLa2MgCo structure, as listed in Alexandria via LeMat-Bulk.

abc: 5.259 5.259 5.725
angles: 90.00 90.00 90.00
Atoms (fractional coordinates):
Ca1 0.000 0.000 0.500
La1 0.500 0.000 0.000
La2 0.000 0.500 0.000
Mg1 0.500 0.500 0.500
Co1 0.000 0.000 0.000

total magnetization	0.000	μB/cell
symmetry	P4/mmm (123)

---

Which structure is most stable? A, by 0.007 eV/atom over the runner-up.